# Ce5PuBi3

Crystalline Ce5PuBi3 at its relaxed geometry (GGA-PBE, the Alexandria database).

```
Ce5PuBi3
1.0
9.6599 0.0000 0.0000
-4.8300 8.3658 0.0000
0.0000 0.0000 6.5283
Ce Pu Bi
10 2 6
direct
0.0000 0.2818 0.2500
0.0000 0.7182 0.7500
0.2818 0.0000 0.2500
0.2818 0.2818 0.7500
0.3333 0.6667 0.0000
0.3333 0.6667 0.5000
0.6667 0.3333 0.0000
0.6667 0.3333 0.5000
0.7182 0.0000 0.7500
0.7182 0.7182 0.2500
0.0000 0.0000 0.0000
0.0000 0.0000 0.5000
0.0000 0.3725 0.7500
0.0000 0.6275 0.2500
0.3725 0.0000 0.7500
0.3725 0.3725 0.2500
0.6275 0.0000 0.2500
0.6275 0.6275 0.7500
```

total magnetic moment	24.22	μB per cell
energy of formation from the pure elements	-0.476	eV per atom
uncorrected energy	-6.658	eV/atom